DFT (PBE-GGA) results for crystalline PtW at its relaxed geometry.

Values from the calculation:
Total moment (Bohr magnetons per cell): 0.0
Mass density (g/cm3): 19.77
Total energy (eV/atom): -9.52

Cell and atoms, written as CIF:
```
data_PtW
_symmetry_space_group_name_H-M 'R -3 m'
_symmetry_Int_Tables_number 166
_symmetry_space_group_name_Hall '-R 3 2"'
_cell_length_a 2.8073
_cell_length_b 2.8073
_cell_length_c 27.9843
_cell_angle_alpha 90.00
_cell_angle_beta 90.00
_cell_angle_gamma 120.00
loop_
_atom_site_label
_atom_site_type_symbol
_atom_site_fract_x
_atom_site_fract_y
_atom_site_fract_z
Pt1 Pt 0.0000 0.0000 0.1234
W1 W 0.0000 0.0000 0.3772
```

***

DFT (PBE-GGA) results for crystalline PtW at its relaxed geometry.

Values from the calculation:
Total moment (Bohr magnetons per cell): 0.0
Mass density (g/cm3): 19.75
Total energy (eV/atom): -9.57

Cell and atoms, written as CIF:
```
data_PtW
_symmetry_space_group_name_H-M 'P 4/n m m'
_symmetry_Int_Tables_number 129
_cell_length_a 3.335
_cell_length_b 3.335
_cell_length_c 5.730
_cell_angle_alpha 90.00
_cell_angle_beta 90.00
_cell_angle_gamma 90.00
loop_
_symmetry_equiv_pos_as_xyz
'x,y,z'
'-x,-y,-z'
'-y+1/2,x,z'
'y+1/2,-x,-z'
'-x+1/2,-y+1/2,z'
'x+1/2,y+1/2,-z'
'y,-x+1/2,z'
'-y,x+1/2,-z'
'x+1/2,-y,-z'
'-x+1/2,y,z'
'-y,-x,-z'
'y,x,z'
'-x,y+1/2,-z'
'x,-y+1/2,z'
'y+1/2,x+1/2,-z'
'-y+1/2,-x+1/2,z'
loop_
_atom_site_label
_atom_site_type_symbol
_atom_site_fract_x
_atom_site_fract_y
_atom_site_fract_z
Pt1 Pt 0.250 0.250 0.128
W1 W 0.250 0.250 0.635
```

***

DFT (PBE-GGA) results for crystalline Y2Pt2W at its relaxed geometry.

Values from the calculation:
Total moment (Bohr magnetons per cell): 0.0
Mass density (g/cm3): 11.71
Total energy (eV/atom): -8.15

Cell and atoms, written as CIF:
```
data_Y2Pt2W
_symmetry_space_group_name_H-M 'P 4/m b m'
_symmetry_Int_Tables_number 127
_symmetry_space_group_name_Hall '-P 4 2ab'
_cell_length_a 6.847
_cell_length_b 6.847
_cell_length_c 4.548
_cell_angle_alpha 90.00
_cell_angle_beta 90.00
_cell_angle_gamma 90.00
loop_
_atom_site_label
_atom_site_type_symbol
_atom_site_fract_x
_atom_site_fract_y
_atom_site_fract_z
Y1 Y 0.175 0.325 0.000
Pt1 Pt 0.141 0.641 0.500
W1 W 0.000 0.000 0.500
```

***

Among the records above, which one has the lowest total energy?
number 2

***

Which value of total energy does entry 1 give?
-9.52 eV/atom

***

Copy entry 2 word for word.
DFT (PBE-GGA) results for crystalline PtW at its relaxed geometry.

Values from the calculation:
Total moment (Bohr magnetons per cell): 0.0
Mass density (g/cm3): 19.75
Total energy (eV/atom): -9.57

Cell and atoms, written as CIF:
```
data_PtW
_symmetry_space_group_name_H-M 'P 4/n m m'
_symmetry_Int_Tables_number 129
_cell_length_a 3.335
_cell_length_b 3.335
_cell_length_c 5.730
_cell_angle_alpha 90.00
_cell_angle_beta 90.00
_cell_angle_gamma 90.00
loop_
_symmetry_equiv_pos_as_xyz
'x,y,z'
'-x,-y,-z'
'-y+1/2,x,z'
'y+1/2,-x,-z'
'-x+1/2,-y+1/2,z'
'x+1/2,y+1/2,-z'
'y,-x+1/2,z'
'-y,x+1/2,-z'
'x+1/2,-y,-z'
'-x+1/2,y,z'
'-y,-x,-z'
'y,x,z'
'-x,y+1/2,-z'
'x,-y+1/2,z'
'y+1/2,x+1/2,-z'
'-y+1/2,-x+1/2,z'
loop_
_atom_site_label
_atom_site_type_symbol
_atom_site_fract_x
_atom_site_fract_y
_atom_site_fract_z
Pt1 Pt 0.250 0.250 0.128
W1 W 0.250 0.250 0.635
```